1.
Density functional theory data (GGA-PBE) for crystalline NdSmDyTl at its relaxed geometry.

```
NdSmDyTl
1.0
4.8828 0.0000 0.0000
0.0000 4.9122 0.0000
0.0000 0.0000 4.9950
Nd Sm Dy Tl
1 1 1 1
direct
0.0000 0.0000 0.0000 Nd
0.5000 0.5000 0.0000 Sm
0.5000 0.0000 0.5000 Dy
0.0000 0.5000 0.5000 Tl
```

Output
Relative energy among the computed polymorphs, eV per atom: 0.000
Formation energy, eV/atom: -0.192



2.
Density functional theory data (GGA-PBE) for crystalline NdSm2DyTm2 at its relaxed geometry.

```
NdSm2DyTm2
1.0
6.5083 0.0000 0.0000
0.0000 18.0578 0.0000
0.0000 0.0000 3.4061
Nd Sm Dy Tm
2 4 2 4
direct
0.0000 0.0000 0.0000 Nd
0.5000 0.5000 0.5000 Nd
0.2187 0.1894 0.0000 Sm
0.2813 0.6894 0.5000 Sm
0.7187 0.3106 0.5000 Sm
0.7813 0.8106 0.0000 Sm
0.0000 0.5000 0.0000 Dy
0.5000 0.0000 0.5000 Dy
0.2163 0.3541 0.5000 Tm
0.2837 0.8541 0.0000 Tm
0.7163 0.1459 0.0000 Tm
0.7837 0.6459 0.5000 Tm
```

Output
Formation energy, eV/atom: 0.271



3.
Density functional theory data (GGA-PBE) for crystalline Nd6SmDy2Tm3 at its relaxed geometry.

```
Nd6SmDy2Tm3
1.0
3.1316 -5.4238 0.0000
3.1316 5.4238 0.0000
-2.0806 0.0000 11.6449
Nd Sm Dy Tm
6 1 2 3
direct
0.0845 0.4182 0.7525 Nd
0.2492 0.2492 0.2476 Nd
0.4182 0.0845 0.7525 Nd
0.5818 0.9155 0.2475 Nd
0.7508 0.7508 0.7524 Nd
0.9155 0.5818 0.2475 Nd
0.0000 0.0000 0.5000 Sm
0.3334 0.6666 0.5000 Dy
0.6666 0.3334 0.5000 Dy
0.1668 0.8332 0.0000 Tm
0.5000 0.5000 0.0000 Tm
0.8332 0.1668 0.0000 Tm
```

Output
Formation energy, eV/atom: 0.014